This record from Alexandria describes a relaxed YSi5 crystal. The functional is PBE.

a = 5.5219 Å, b = 5.5219 Å, c = 5.8850 Å
α = 75.96°, β = 75.96°, γ = 38.82°
Fractional positions:
Y  0.7177  0.7177  0.0606
Si  0.3856  0.3856  0.6882
Si  0.9998  0.9998  0.0633
Si  0.3728  0.3728  0.2838
Si  0.0456  0.0456  0.4574
Si  0.6446  0.6446  0.6134

Properties
As for the energy above the most stable polymorph in this dataset: 0.00 eV per formula unit. The calculated total energy is -5.63 eV/atom.